Record 1
{"formula": "CdRhCl2", "functional": "PBE-GGA", "state": "optimized geometry", "lattice": [[5.8417, -0.0326, 0.0234], [1.0784, 5.7414, -0.0234], [-2.0430, -4.5721, 3.0082]], "species": ["Cl", "Cl", "Rh", "Cd"], "frac_coords": [[0.0415, 0.0415, 0.0000], [0.6863, 0.1863, 0.5000], [0.5089, 0.5089, 0.0000], [0.2633, 0.7633, 0.5000]], "sg": "No. 44", "relative_energy_ev_per_atom": 0.2283}

---

Record 2
{"formula": "LuMnNi2", "functional": "PBE-GGA", "state": "optimized geometry", "lattice": [[3.3371, 0.0000, 0.0000], [0.0000, 4.2312, 0.0000], [0.0000, 0.0000, 4.2312]], "species": ["Ni", "Ni", "Lu", "Mn"], "frac_coords": [[0.0000, 0.0000, 0.5000], [0.0000, 0.5000, 0.0000], [0.5000, 0.5000, 0.5000], [0.5000, 0.0000, 0.0000]], "sg": "No. 123", "relative_energy_ev_per_atom": 0.0460, "e_form_ev_per_atom": -0.21}

---

Record 3
{"formula": "CeEr3Te6", "functional": "PBE-GGA", "state": "optimized geometry", "lattice": [[-2.3274, -2.3999, 2.8130], [9.8519, -7.4055, 1.8332], [0.3044, 9.5951, 8.4379]], "species": ["Ce", "Ce", "Er", "Er", "Er", "Er", "Er", "Er", "Te", "Te", "Te", "Te", "Te", "Te", "Te", "Te", "Te", "Te", "Te", "Te"], "frac_coords": [[0.7500, 0.0473, 0.6974], [0.2500, 0.9527, 0.3026], [0.7500, 0.4364, 0.8355], [0.2500, 0.5636, 0.1645], [0.7500, 0.6819, 0.5008], [0.2500, 0.3181, 0.4992], [0.7500, 0.1550, 0.0825], [0.2500, 0.8450, 0.9175], [0.7500, 0.4827, 0.6170], [0.2500, 0.5173, 0.3830], [0.7500, 0.9150, 0.0959], [0.2500, 0.0850, 0.9041], [0.7500, 0.3909, 0.0597], [0.2500, 0.6091, 0.9403], [0.7500, 0.7405, 0.2760], [0.2500, 0.2595, 0.7240], [0.7500, 0.1173, 0.4668], [0.2500, 0.8827, 0.5332], [0.7500, 0.8034, 0.7496], [0.2500, 0.1966, 0.2504]], "sg": "No. 11", "total_energy_ev_per_atom": -5.2125}

---

Record 4
{"formula": "ZnAgTe", "functional": "PBE-GGA", "state": "optimized geometry", "lattice": [[-5.7641, -2.3480, -3.1402], [-3.5918, -4.7492, -3.2042], [-2.1124, -0.7754, 2.3293]], "species": ["Ag", "Te", "Zn"], "frac_coords": [[0.0189, 0.0189, 0.9811], [0.3251, 0.3251, 0.6749], [0.6560, 0.6560, 0.3440]], "sg": "No. 42", "relative_energy_ev_per_atom": 0.2419}

---

Record 5
{"formula": "SnPd3Pt", "functional": "PBE-GGA", "state": "optimized geometry", "lattice": [[-3.6726, 3.9893, -3.5493], [-1.7648, -4.0170, 4.7697], [3.5844, 4.2400, 3.3428]], "species": ["Sn", "Sn", "Pd", "Pd", "Pd", "Pd", "Pd", "Pd", "Pt", "Pt"], "frac_coords": [[0.5627, 0.7817, 0.2810], [0.5007, 0.2817, 0.7190], [0.0316, 0.2140, 0.6824], [0.0316, 0.8493, 0.3177], [0.5316, 0.7140, 0.6823], [0.0613, 0.2817, 0.2796], [0.5316, 0.3493, 0.3176], [0.0022, 0.7817, 0.7204], [0.5316, 0.0316, 0.0000], [0.0316, 0.5316, 0.0000]], "sg": "No. 74", "relative_energy_ev_per_atom": 0.3179, "e_form_ev_per_atom": -0.08}

---

Record 6
{"formula": "Li3HfP", "functional": "PBE-GGA", "state": "optimized geometry", "lattice": [[-0.3988, 3.7996, 2.2351], [-2.4190, 1.6875, -3.3003], [-3.6852, -1.5189, 1.9245]], "species": ["P", "Hf", "Li", "Li", "Li"], "frac_coords": [[0.0000, 0.0000, 0.0000], [0.5000, 0.5000, 0.5000], [0.0000, 0.5000, 0.0000], [0.0000, 0.0000, 0.5000], [0.5000, 0.0000, 0.0000]], "sg": "No. 221", "relative_energy_ev_per_atom": 0.0000, "e_form_ev_per_atom": 0.29}

---

Record 7
{"formula": "ReB2Mo", "functional": "PBE-GGA", "state": "optimized geometry", "lattice": [[3.1454, 0.0000, 0.0000], [1.5727, 2.7240, 0.0000], [1.5727, 0.9080, 5.1297]], "species": ["Re", "Mo", "B", "B"], "frac_coords": [[0.5000, 0.5000, 0.5000], [0.0000, 0.0000, 0.0000], [0.7515, 0.7515, 0.7456], [0.2485, 0.2485, 0.2544]], "sg": "No. 166", "relative_energy_ev_per_atom": 0.1398, "e_form_ev_per_atom": -0.03}

---

Record 8
{"formula": "GaReRh2W", "functional": "PBE-GGA", "state": "optimized geometry", "lattice": [[4.6619, 0.0000, 0.0000], [0.0000, 4.6824, 0.0000], [0.0000, 0.0000, 4.6619]], "species": ["Re", "Rh", "Rh", "Ga", "W"], "frac_coords": [[0.0000, 0.0000, 0.0000], [0.0000, 0.0000, 0.5000], [0.5000, 0.0000, 0.0000], [0.0000, 0.5000, 0.0000], [0.5000, 0.5000, 0.5000]], "sg": "No. 123", "e_form_ev_per_atom": 1.69}

---

Record 9
{"formula": "Ac2MnGa4Ir3", "functional": "PBE-GGA", "state": "optimized geometry", "lattice": [[4.3191, 0.0000, 0.0000], [0.0000, 4.3191, 0.0000], [0.0000, 0.0000, 10.7748]], "species": ["Ac", "Ac", "Mn", "Ga", "Ga", "Ga", "Ga", "Ir", "Ir", "Ir"], "frac_coords": [[0.5000, 0.0000, 0.2519], [0.0000, 0.5000, 0.7481], [0.5000, 0.5000, 0.5000], [0.5000, 0.5000, 0.0000], [0.0000, 0.0000, 0.0000], [0.5000, 0.0000, 0.6268], [0.0000, 0.5000, 0.3732], [0.0000, 0.0000, 0.5000], [0.5000, 0.0000, 0.8698], [0.0000, 0.5000, 0.1302]], "sg": "No. 115", "e_form_ev_per_atom": -0.57}

---

Record 10
{"formula": "Nd4Er11S22", "functional": "PBE-GGA", "state": "optimized geometry", "lattice": [[3.9372, 0.0000, 0.0000], [0.0000, 11.3336, -0.0342], [-1.9686, -0.5132, 19.5363]], "species": ["Nd", "Nd", "Nd", "Nd", "Er", "Er", "Er", "Er", "Er", "Er", "Er", "Er", "Er", "Er", "Er", "S", "S", "S", "S", "S", "S", "S", "S", "S", "S", "S", "S", "S", "S", "S", "S", "S", "S", "S", "S", "S", "S"], "frac_coords": [[0.8950, 0.9879, 0.7900], [0.1050, 0.0121, 0.2100], [0.6321, 0.6506, 0.2643], [0.3679, 0.3494, 0.7357], [0.2022, 0.9418, 0.4043], [0.7978, 0.0582, 0.5957], [0.5386, 0.7306, 0.0773], [0.4614, 0.2694, 0.9227], [0.3418, 0.6990, 0.6837], [0.6582, 0.3010, 0.3163], [0.7352, 0.6474, 0.4705], [0.2648, 0.3526, 0.5295], [0.9296, 0.6406, 0.8593], [0.0704, 0.3594, 0.1407], [0.0000, 0.0000, 0.0000], [0.9121, 0.2448, 0.8243], [0.0879, 0.7552, 0.1757], [0.8119, 0.3091, 0.6237], [0.1881, 0.6909, 0.3763], [0.7206, 0.4081, 0.4412], [0.2794, 0.5919, 0.5588], [0.5577, 0.5089, 0.1155], [0.4423, 0.4911, 0.8845], [0.8645, 0.5474, 0.7290], [0.1355, 0.4526, 0.2710], [0.4068, 0.7886, 0.8136], [0.5932, 0.2114, 0.1864], [0.5471, 0.9703, 0.0941], [0.4529, 0.0297, 0.9059], [0.6496, 0.9069, 0.2991], [0.3504, 0.0931, 0.7009], [0.8313, 0.8495, 0.6626], [0.1687, 0.1505, 0.3374], [0.9922, 0.7592, 0.9844], [0.0078, 0.2408, 0.0156], [0.7448, 0.8802, 0.4897], [0.2552, 0.1198, 0.5103]], "sg": "No. 12", "total_energy_ev_per_atom": -6.4225}